GaMo2Pb after structural relaxation. Source: Alexandria via LeMat-Bulk, functional PBE-GGA.

Results
For the formation energy from the elements, the calculation gives 0.64 eV per atom. The energy above the most stable polymorph in this dataset comes out at 14 kJ/mol of formula units. Its calculated total energy is -0.474 Ry per atom.

a = 4.046 Å, b = 4.046 Å, c = 10.185 Å
α = 78.54°, β = 78.54°, γ = 90.00°
Atoms (fractional coordinates):
Pb  0.750  0.250  0.500
Mo  0.375  0.441  0.750
Ga  0.500  0.500  0.000
Mo  0.875  0.809  0.750
Mo  0.191  0.625  0.250
Pb  0.000  0.000  0.000
Ga  0.250  0.750  0.500
Mo  0.559  0.125  0.250

---

GaIr2Os after structural relaxation. Source: Alexandria via LeMat-Bulk, functional PBE-GGA.

Results
For the formation energy from the elements, the calculation gives -0.08 eV per atom. The energy above the most stable polymorph in this dataset comes out at 12 kJ/mol of formula units. Its calculated total energy is -0.594 Ry per atom.

a = 2.773 Å, b = 2.773 Å, c = 8.842 Å
α = 80.98°, β = 80.98°, γ = 60.00°
Atoms (fractional coordinates):
Ga  0.000  0.000  0.000
Os  0.500  0.500  0.500
Ir  0.251  0.251  0.246
Ir  0.749  0.749  0.754